# 1
Compound: CsPa2Se8
Source: the Alexandria database
Functional: PBE-GGA
Structure: optimized geometry

Summary:
Uncorrected energy (Ry per atom): -0.38633
Formation energy without anion corrections (meV/atom): -918

Lattice parameters (Å, degrees): 8.422 16.040 5.449 90.00 93.60 90.00
Space group C2/m (No. 12)
One atom of each set of equivalent atoms:
1 Cs 0.000 0.000 0.000 x2
2 Pa 0.000 0.255 0.500 x4
3 Se 0.000 0.247 0.000 x4
4 Se 0.064 0.500 0.185 x4
5 Se 0.242 0.135 0.501 x8

# 2
Compound: CsPa6Se8
Source: the Alexandria database
Functional: PBE-GGA
Structure: optimized geometry

Summary:
Uncorrected energy (Ry per atom): -0.49449
Formation energy without anion corrections (meV/atom): -1014

Lattice parameters (Å, degrees): 11.1994 11.1994 13.5513 90.00 90.00 120.00
Space group R-3 (No. 148, hexagonal axes)
One atom of each set of equivalent atoms:
1 Cs 0.0000 0.0000 0.0000 x3
2 Pa 0.0148 0.8253 0.4228 x18
3 Se 0.0000 0.0000 0.2754 x6
4 Se 0.0146 0.6441 0.2744 x18

# 3
Compound: Cs3Pa2Se7
Source: the Alexandria database
Functional: PBE-GGA
Structure: optimized geometry

Summary:
Uncorrected energy (Ry per atom): -0.37861
Formation energy without anion corrections (meV/atom): -1323

Lattice parameters (Å, degrees): 5.593 28.410 5.552 90.00 90.00 90.00
Space group Cmmm (No. 65)
One atom of each set of equivalent atoms:
1 Cs 0.000 0.000 0.000 x2
2 Cs 0.000 0.189 0.000 x4
3 Pa 0.000 0.401 0.500 x4
4 Se 0.000 0.096 0.500 x4
5 Se 0.000 0.308 0.500 x4
6 Se 0.000 0.405 0.000 x4
7 Se 0.000 0.500 0.500 x2

# 4
Compound: CsPa2Se7
Source: the Alexandria database
Functional: PBE-GGA
Structure: optimized geometry

Summary:
Uncorrected energy (Ry per atom): -0.40113
Formation energy without anion corrections (meV/atom): -1034

Lattice parameters (Å, degrees): 8.657 13.495 5.519 90.00 90.00 90.00
Space group Cmmm (No. 65)
One atom of each set of equivalent atoms:
1 Cs 0.000 0.000 0.000 x2
2 Pa 0.000 0.287 0.500 x4
3 Se 0.000 0.284 0.000 x4
4 Se 0.000 0.500 0.500 x2
5 Se 0.211 0.124 0.500 x8

# 5
Compound: Cs5PaSe6
Source: the Alexandria database
Functional: PBE-GGA
Structure: optimized geometry

Summary:
Uncorrected energy (Ry per atom): -0.29709
Formation energy without anion corrections (meV/atom): -1153

Lattice parameters (Å, degrees): 8.805 15.047 8.579 90.00 110.46 90.00
Space group C2/m (No. 12)
One atom of each set of equivalent atoms:
1 Cs 0.000 0.000 0.000 x2
2 Cs 0.000 0.166 0.500 x4
3 Cs 0.000 0.326 0.000 x4
4 Pa 0.000 0.500 0.500 x2
5 Se 0.188 0.500 0.299 x4
6 Se 0.198 0.369 0.703 x8

# 6
Compound: Cs4PaSe5
Source: the Alexandria database
Functional: PBE-GGA
Structure: optimized geometry

Summary:
Energy above the most stable polymorph in this dataset (eV/atom): 0.000
Uncorrected energy (Ry per atom): -0.31248
Formation energy without anion corrections (meV/atom): -1218

Lattice parameters (Å, degrees): 11.064 11.064 7.345 90.00 90.00 90.00
Space group I4 (No. 79)
One atom of each set of equivalent atoms:
1 Cs 0.088 0.701 0.000 x8
2 Pa 0.000 0.000 0.550 x2
3 Se 0.000 0.000 0.914 x2
4 Se 0.076 0.767 0.495 x8

# 7
Compound: Cs3PaSe4
Source: the Alexandria database
Functional: PBE-GGA
Structure: optimized geometry

Summary:
Energy above the most stable polymorph in this dataset (eV/atom): 0.000
Uncorrected energy (Ry per atom): -0.33645
Formation energy without anion corrections (meV/atom): -1328

Lattice parameters (Å, degrees): 9.994 14.372 4.508 90.00 90.00 90.00
Space group Cmmm (No. 65)
One atom of each set of equivalent atoms:
1 Cs 0.000 0.000 0.000 x2
2 Cs 0.250 0.250 0.500 x4
3 Pa 0.000 0.500 0.000 x2
4 Se 0.000 0.314 0.000 x4
5 Se 0.188 0.500 0.500 x4

# 8
Compound: Cs3PaSe4
Source: the Alexandria database
Functional: PBE-GGA
Structure: optimized geometry

Summary:
Energy above the most stable polymorph in this dataset (eV/atom): 0.232
Uncorrected energy (Ry per atom): -0.31943
Formation energy without anion corrections (meV/atom): -1097

Lattice parameters (Å, degrees): 8.782 8.782 9.437 90.00 90.00 90.00
Space group I4/mmm (No. 139)
One atom of each set of equivalent atoms:
1 Cs 0.000 0.000 0.000 x2
2 Cs 0.000 0.500 0.250 x4
3 Pa 0.000 0.000 0.500 x2
4 Se 0.215 0.215 0.500 x8

Question: uncorrected energy of number 4 (CsPa2Se7)?
Answer: -0.40113 Ry per atom

Question: Which of these has the highest uncorrected energy?
Answer: Cs5PaSe6